A relaxed La3Tb4YSe8 crystal, computed with PBE.

a = 8.3764 Å, b = 8.3764 Å, c = 8.3764 Å
α = 59.69°, β = 59.69°, γ = 59.69°
Fractional coordinates of all 16 atoms:
La 0.0000 0.5000 0.5000
La 0.5000 0.0000 0.5000
La 0.5000 0.5000 0.0000
Tb 0.0000 0.0000 0.5000
Tb 0.0000 0.5000 0.0000
Tb 0.5000 0.0000 0.0000
Tb 0.5000 0.5000 0.5000
Y 0.0000 0.0000 0.0000
Se 0.2386 0.7501 0.7501
Se 0.2442 0.2442 0.2442
Se 0.2499 0.2499 0.7614
Se 0.2499 0.7614 0.2499
Se 0.7501 0.2386 0.7501
Se 0.7501 0.7501 0.2386
Se 0.7558 0.7558 0.7558
Se 0.7614 0.2499 0.2499

Summary:
Energy = -97.3 eV/f.u.
Space-group type = R-3m, No. 166
Total moment = 0.000 μB per formula unit